## TePb2 (PBE)

Data for a geometry-optimized TePb2 structure. Values from VASP.

* theoretical density: 7.874 g/cm³
* energy above the most stable polymorph in this dataset: 170 meV per atom
* ΔE_f (raw): 0.032 eV per atom
* uncorrected energy: -3.487 eV/atom

Cell and atoms, written as Quantum ESPRESSO input:
```
&SYSTEM
  ibrav = 0, nat = 12, ntyp = 2
/
ATOMIC_SPECIES
Pb 207.20 Pb.upf
Te 127.60 Te.upf
ATOMIC_POSITIONS crystal
Pb 0.123 0.877 0.623
Pb 0.623 0.623 0.377
Pb 0.377 0.377 0.623
Pb 0.623 0.877 0.877
Pb 0.377 0.123 0.123
Pb 0.123 0.623 0.123
Pb 0.877 0.123 0.377
Pb 0.877 0.377 0.877
Te 0.000 0.000 0.000
Te 0.000 0.500 0.500
Te 0.500 0.000 0.500
Te 0.500 0.500 0.000
CELL_PARAMETERS angstrom
7.704 0.000 0.000
0.000 7.704 0.000
0.000 0.000 7.704
```

---

## MgOsC2 (PBE)

Data for a geometry-optimized MgOsC2 structure. Values from VASP.

* theoretical density: 7.115 g/cm³
* uncorrected energy: -7.169 eV/atom
* energy relative to the elements: 0.65 eV/atom

Cell and atoms, written as Quantum ESPRESSO input:
```
&SYSTEM
  ibrav = 0, nat = 8, ntyp = 3
/
ATOMIC_SPECIES
C 12.01 C.upf
Mg 24.30 Mg.upf
Os 190.23 Os.upf
ATOMIC_POSITIONS crystal
C 0.875 0.934 0.750
C 0.684 0.125 0.250
C 0.066 0.625 0.250
C 0.375 0.316 0.750
Mg 0.500 0.500 0.000
Mg 0.250 0.750 0.500
Os 0.750 0.250 0.500
Os 0.000 0.000 0.000
CELL_PARAMETERS angstrom
-4.457 -1.097 1.632
-0.302 -3.613 -3.253
-0.508 -5.320 2.308
```

---

## TlCo2Tc (PBE)

Data for a geometry-optimized TlCo2Tc structure. Values from VASP.

* theoretical density: 11.924 g/cm³
* energy above the most stable polymorph in this dataset: 111 meV per atom
* uncorrected energy: -6.213 eV/atom
* energy relative to the elements: 0.52 eV/atom

Cell and atoms, written as Quantum ESPRESSO input:
```
&SYSTEM
  ibrav = 0, nat = 4, ntyp = 3
/
ATOMIC_SPECIES
Co 58.93 Co.upf
Tc 98.00 Tc.upf
Tl 204.38 Tl.upf
ATOMIC_POSITIONS crystal
Co 0.012 0.012 0.975
Co 0.748 0.748 0.731
Tc 0.486 0.486 0.567
Tl 0.253 0.253 0.227
CELL_PARAMETERS angstrom
-1.941 -3.770 1.808
-0.099 -4.605 -0.200
3.172 -1.162 3.393
```

---

## Hg2PbCl (PBE)

Data for a geometry-optimized Hg2PbCl structure. Values from VASP.

* theoretical density: 9.596 g/cm³
* energy above the most stable polymorph in this dataset: 51 meV per atom
* ΔE_f (raw): -0.245 eV per atom
* uncorrected energy: -1.784 eV/atom

Cell and atoms, written as Quantum ESPRESSO input:
```
&SYSTEM
  ibrav = 0, nat = 4, ntyp = 3
/
ATOMIC_SPECIES
Hg 200.59 Hg.upf
Cl 35.45 Cl.upf
Pb 207.20 Pb.upf
ATOMIC_POSITIONS crystal
Hg 0.000 0.000 0.000
Hg 0.500 0.500 0.000
Cl 0.750 0.250 0.500
Pb 0.250 0.750 0.500
CELL_PARAMETERS angstrom
6.561 -0.005 0.000
3.628 5.467 0.000
-5.094 -2.731 3.104
```

---

## SrSbPd (PBE)

Data for a geometry-optimized SrSbPd structure. Values from VASP.

* theoretical density: 6.418 g/cm³
* ΔE_f (raw): -0.848 eV per atom
* uncorrected energy: -4.514 eV/atom

Cell and atoms, written as Quantum ESPRESSO input:
```
&SYSTEM
  ibrav = 0, nat = 12, ntyp = 3
/
ATOMIC_SPECIES
Sr 87.62 Sr.upf
Sb 121.76 Sb.upf
Pd 106.42 Pd.upf
ATOMIC_POSITIONS crystal
Sr 0.653 0.172 0.382
Sr 0.153 0.328 0.118
Sr 0.847 0.672 0.882
Sr 0.347 0.828 0.618
Sb 0.829 0.693 0.460
Sb 0.171 0.307 0.540
Sb 0.329 0.807 0.040
Sb 0.671 0.193 0.960
Pd 0.916 0.103 0.683
Pd 0.416 0.397 0.817
Pd 0.584 0.603 0.183
Pd 0.084 0.897 0.317
CELL_PARAMETERS angstrom
6.660 0.000 0.000
0.000 6.640 0.049
0.000 -2.932 7.369
```

---

## Sr2ZnAs2 (PBE)

Data for a geometry-optimized Sr2ZnAs2 structure. Values from VASP.

* theoretical density: 4.785 g/cm³
* uncorrected energy: -3.522 eV/atom
* energy relative to the elements: -0.73 eV/atom

Cell and atoms, written as Quantum ESPRESSO input:
```
&SYSTEM
  ibrav = 0, nat = 10, ntyp = 3
/
ATOMIC_SPECIES
Sr 87.62 Sr.upf
As 74.92 As.upf
Zn 65.41 Zn.upf
ATOMIC_POSITIONS crystal
Sr 0.318 0.182 0.500
Sr 0.682 0.818 0.500
Sr 0.182 0.682 0.500
Sr 0.818 0.318 0.500
As 0.614 0.114 0.000
As 0.886 0.614 0.000
As 0.386 0.886 0.000
As 0.114 0.386 0.000
Zn 0.500 0.500 0.000
Zn 0.000 0.000 0.000
CELL_PARAMETERS angstrom
7.799 0.000 0.000
0.000 7.799 0.000
0.000 0.000 4.455
```

---

## CeDy2Sb3 (PBE)

Data for a geometry-optimized CeDy2Sb3 structure. Values from VASP.

* theoretical density: 7.521 g/cm³
* ΔE_f (raw): -1.102 eV per atom
* uncorrected energy: -5.686 eV/atom

Cell and atoms, written as Quantum ESPRESSO input:
```
&SYSTEM
  ibrav = 0, nat = 6, ntyp = 3
/
ATOMIC_SPECIES
Ce 140.12 Ce.upf
Sb 121.76 Sb.upf
Dy 162.50 Dy.upf
ATOMIC_POSITIONS crystal
Ce 0.500 0.500 0.500
Sb 0.170 0.670 0.839
Sb 0.500 0.000 0.500
Sb 0.830 0.330 0.161
Dy 0.166 0.166 0.831
Dy 0.834 0.834 0.169
CELL_PARAMETERS angstrom
-0.761 -3.099 -3.058
-0.239 -4.360 4.478
-6.029 4.723 -0.092
```

---

## Ce2Ga4NiSn2 (PBE)

Data for a geometry-optimized Ce2Ga4NiSn2 structure. Values from VASP.

* theoretical density: 7.506 g/cm³
* uncorrected energy: -4.682 eV/atom
* energy relative to the elements: -0.49 eV/atom

Cell and atoms, written as Quantum ESPRESSO input:
```
&SYSTEM
  ibrav = 0, nat = 9, ntyp = 4
/
ATOMIC_SPECIES
Ce 140.12 Ce.upf
Ga 69.72 Ga.upf
Sn 118.71 Sn.upf
Ni 58.69 Ni.upf
ATOMIC_POSITIONS crystal
Ce 0.500 0.250 0.750
Ce 0.500 0.750 0.250
Ga 0.539 0.270 0.270
Ga 0.000 0.270 0.730
Ga 0.000 0.730 0.270
Ga 0.461 0.730 0.730
Sn 0.000 0.721 0.721
Sn 0.000 0.279 0.279
Ni 0.000 0.000 0.000
CELL_PARAMETERS angstrom
6.448 -0.084 -0.121
-3.169 5.617 0.121
-3.169 -1.860 5.301
```

---

## PmEuEr (PBE)

Data for a geometry-optimized PmEuEr structure. Values from VASP.

* theoretical density: 7.363 g/cm³
* uncorrected energy: -6.478 eV/atom
* energy relative to the elements: 0.05 eV/atom

Cell and atoms, written as Quantum ESPRESSO input:
```
&SYSTEM
  ibrav = 0, nat = 3, ntyp = 3
/
ATOMIC_SPECIES
Er 167.26 Er.upf
Eu 151.96 Eu.upf
Pm 145.00 Pm.upf
ATOMIC_POSITIONS crystal
Er 0.326 0.326 0.652
Eu 0.998 0.998 0.997
Pm 0.675 0.675 0.351
CELL_PARAMETERS angstrom
-1.234 1.174 3.256
-1.239 -3.378 0.749
8.056 -0.685 1.225
```

---

## Mg2CuSe (PBE)

Data for a geometry-optimized Mg2CuSe structure. Values from VASP.

* theoretical density: 3.742 g/cm³
* ΔE_f (raw): -0.186 eV per atom
* uncorrected energy: -2.879 eV/atom

Cell and atoms, written as Quantum ESPRESSO input:
```
&SYSTEM
  ibrav = 0, nat = 4, ntyp = 3
/
ATOMIC_SPECIES
Mg 24.30 Mg.upf
Se 78.96 Se.upf
Cu 63.55 Cu.upf
ATOMIC_POSITIONS crystal
Mg 0.234 0.234 0.234
Mg 0.018 0.018 0.018
Se 0.485 0.485 0.485
Cu 0.763 0.763 0.763
CELL_PARAMETERS angstrom
-2.113 -4.089 5.137
1.591 -5.008 4.468
0.723 -1.888 6.595
```

---

## TlP2Se (PBE)

Data for a geometry-optimized TlP2Se structure. Values from VASP.

* theoretical density: 5.844 g/cm³
* energy above the most stable polymorph in this dataset: 562 meV per atom
* ΔE_f (raw): 0.628 eV per atom
* uncorrected energy: -3.539 eV/atom

Cell and atoms, written as Quantum ESPRESSO input:
```
&SYSTEM
  ibrav = 0, nat = 4, ntyp = 3
/
ATOMIC_SPECIES
Tl 204.38 Tl.upf
P 30.97 P.upf
Se 78.96 Se.upf
ATOMIC_POSITIONS crystal
Tl 0.000 0.500 0.500
P 0.500 0.500 0.000
P 0.000 0.000 0.000
Se 0.500 0.000 0.500
CELL_PARAMETERS angstrom
-3.412 0.693 -1.233
1.149 -4.325 -5.610
-1.287 -2.870 1.949
```

---

## YEr8Tm6 (PBE)

Data for a geometry-optimized YEr8Tm6 structure. Values from VASP.

* theoretical density: 8.751 g/cm³
* energy above the most stable polymorph in this dataset: 41 meV per atom
* uncorrected energy: -4.474 eV/atom
* energy relative to the elements: 0.18 eV/atom

Cell and atoms, written as Quantum ESPRESSO input:
```
&SYSTEM
  ibrav = 0, nat = 15, ntyp = 3
/
ATOMIC_SPECIES
Er 167.26 Er.upf
Tm 168.93 Tm.upf
Y 88.91 Y.upf
ATOMIC_POSITIONS crystal
Er 0.734 0.092 0.468
Er 0.266 0.908 0.532
Er 0.775 0.667 0.333
Er 0.225 0.333 0.667
Er 0.266 0.624 0.092
Er 0.734 0.376 0.908
Er 0.734 0.532 0.624
Er 0.266 0.468 0.376
Tm 0.221 0.050 0.275
Tm 0.221 0.725 0.775
Tm 0.779 0.775 0.050
Tm 0.779 0.275 0.225
Tm 0.779 0.950 0.725
Tm 0.221 0.225 0.950
Y 0.500 0.000 0.000
CELL_PARAMETERS angstrom
-2.755 1.879 -4.652
1.769 -8.400 -4.441
-8.060 1.104 5.219
```

---

## Ba4PPbI2 (PBE)

Data for a geometry-optimized Ba4PPbI2 structure. Values from VASP.

* theoretical density: 4.821 g/cm³
* ΔE_f (raw): -1.161 eV per atom
* uncorrected energy: -3.649 eV/atom

Cell and atoms, written as Quantum ESPRESSO input:
```
&SYSTEM
  ibrav = 0, nat = 8, ntyp = 4
/
ATOMIC_SPECIES
Ba 137.33 Ba.upf
P 30.97 P.upf
Pb 207.20 Pb.upf
I 126.90 I.upf
ATOMIC_POSITIONS crystal
Ba 0.500 0.298 0.719
Ba 0.500 0.702 0.281
Ba 0.000 0.718 0.736
Ba 0.000 0.282 0.264
P 0.000 0.500 0.500
Pb 0.500 0.500 0.000
I 0.000 0.000 0.000
I 0.500 0.000 0.500
CELL_PARAMETERS angstrom
-1.232 -0.542 -4.500
3.294 -8.400 0.110
-6.608 -5.358 2.455
```

---

## Te6I12Br (PBE)

Data for a geometry-optimized Te6I12Br structure. Values from VASP.

* theoretical density: 3.182 g/cm³
* ΔE_f (raw): -0.008 eV per atom
* uncorrected energy: -2.067 eV/atom

Cell and atoms, written as Quantum ESPRESSO input:
```
&SYSTEM
  ibrav = 0, nat = 19, ntyp = 3
/
ATOMIC_SPECIES
Te 127.60 Te.upf
I 126.90 I.upf
Br 79.90 Br.upf
ATOMIC_POSITIONS crystal
Te 0.573 0.752 0.441
Te 0.427 0.248 0.559
Te 0.340 0.444 0.663
Te 0.397 0.703 0.604
Te 0.603 0.297 0.396
Te 0.660 0.556 0.337
I 0.289 0.873 0.563
I 0.599 0.310 0.849
I 0.693 0.848 0.813
I 0.909 0.618 0.582
I 0.307 0.152 0.187
I 0.860 0.931 0.500
I 0.261 0.665 0.826
I 0.401 0.690 0.151
I 0.739 0.335 0.174
I 0.711 0.127 0.437
I 0.140 0.069 0.500
I 0.091 0.382 0.418
Br 0.000 0.000 0.000
CELL_PARAMETERS angstrom
0.186 9.563 3.933
-9.451 0.927 -8.888
-2.923 -7.337 7.908
```

---

## Fe2HgRh (PBE)

Data for a geometry-optimized Fe2HgRh structure. Values from VASP.

* theoretical density: 11.455 g/cm³
* uncorrected energy: -5.912 eV/atom
* energy relative to the elements: 0.23 eV/atom

Cell and atoms, written as Quantum ESPRESSO input:
```
&SYSTEM
  ibrav = 0, nat = 4, ntyp = 3
/
ATOMIC_SPECIES
Fe 55.84 Fe.upf
Rh 102.91 Rh.upf
Hg 200.59 Hg.upf
ATOMIC_POSITIONS crystal
Fe 0.000 0.000 0.974
Fe 0.000 0.000 0.526
Rh 0.500 0.500 0.750
Hg 0.500 0.500 0.250
CELL_PARAMETERS angstrom
2.838 0.000 0.000
0.000 2.838 0.000
0.000 0.000 7.472
```

---

## Sm12Ho3Mg (PBE)

Data for a geometry-optimized Sm12Ho3Mg structure. Values from VASP.

* theoretical density: 7.400 g/cm³
* uncorrected energy: -4.482 eV/atom
* energy relative to the elements: 0.02 eV/atom

Cell and atoms, written as Quantum ESPRESSO input:
```
&SYSTEM
  ibrav = 0, nat = 16, ntyp = 3
/
ATOMIC_SPECIES
Sm 150.36 Sm.upf
Ho 164.93 Ho.upf
Mg 24.30 Mg.upf
ATOMIC_POSITIONS crystal
Sm 0.000 0.500 0.123
Sm 0.000 0.500 0.626
Sm 0.500 0.500 0.000
Sm 0.000 0.500 0.374
Sm 0.500 0.500 0.247
Sm 0.500 0.000 0.123
Sm 0.500 0.000 0.374
Sm 0.500 0.500 0.753
Sm 0.500 0.000 0.877
Sm 0.000 0.500 0.877
Sm 0.500 0.500 0.500
Sm 0.500 0.000 0.626
Ho 0.000 0.000 0.752
Ho 0.000 0.000 0.500
Ho 0.000 0.000 0.248
Mg 0.000 0.000 0.000
CELL_PARAMETERS angstrom
-1.229 3.900 -2.985
-4.326 0.596 2.561
9.340 12.746 12.809
```

---

## La2W (PBE)

Data for a geometry-optimized La2W structure. Values from VASP.

* theoretical density: 9.579 g/cm³
* energy above the most stable polymorph in this dataset: 452 meV per atom
* uncorrected energy: -6.821 eV/atom
* energy relative to the elements: 0.78 eV/atom

Cell and atoms, written as Quantum ESPRESSO input:
```
&SYSTEM
  ibrav = 0, nat = 6, ntyp = 2
/
ATOMIC_SPECIES
La 138.91 La.upf
W 183.84 W.upf
ATOMIC_POSITIONS crystal
La 0.000 0.000 0.500
La 0.387 0.387 0.000
La 0.000 0.613 0.000
La 0.613 0.000 0.000
W 0.667 0.333 0.500
W 0.333 0.667 0.500
CELL_PARAMETERS angstrom
0.807 0.568 5.897
-5.368 1.083 -2.402
-1.295 -4.961 0.655
```

---

## Ac2TlRh4Pb3 (PBE)

Data for a geometry-optimized Ac2TlRh4Pb3 structure. Values from VASP.

* theoretical density: 11.532 g/cm³
* uncorrected energy: -5.480 eV/atom
* energy relative to the elements: -0.37 eV/atom

Cell and atoms, written as Quantum ESPRESSO input:
```
&SYSTEM
  ibrav = 0, nat = 10, ntyp = 4
/
ATOMIC_SPECIES
Rh 102.91 Rh.upf
Pb 207.20 Pb.upf
Ac 227.00 Ac.upf
Tl 204.38 Tl.upf
ATOMIC_POSITIONS crystal
Rh 0.000 0.500 0.359
Rh 0.500 0.500 0.000
Rh 0.500 0.000 0.641
Rh 0.000 0.000 0.000
Pb 0.500 0.000 0.874
Pb 0.000 0.500 0.126
Pb 0.000 0.000 0.500
Ac 0.000 0.500 0.752
Ac 0.500 0.000 0.248
Tl 0.500 0.500 0.500
CELL_PARAMETERS angstrom
4.606 0.000 0.000
0.000 4.606 0.000
0.000 0.000 11.480
```

---

## CePuTeCl2 (PBE)

Data for a geometry-optimized CePuTeCl2 structure. Values from VASP.

* theoretical density: 7.088 g/cm³
* ΔE_f (raw): -1.395 eV per atom
* uncorrected energy: -6.815 eV/atom

Cell and atoms, written as Quantum ESPRESSO input:
```
&SYSTEM
  ibrav = 0, nat = 5, ntyp = 4
/
ATOMIC_SPECIES
Cl 35.45 Cl.upf
Pu 244.00 Pu.upf
Te 127.60 Te.upf
Ce 140.12 Ce.upf
ATOMIC_POSITIONS crystal
Cl 0.250 0.750 0.501
Cl 0.750 0.250 0.501
Pu 0.885 0.885 0.771
Te 0.499 0.499 0.998
Ce 0.115 0.115 0.230
CELL_PARAMETERS angstrom
4.428 0.000 0.000
0.000 4.428 0.000
-2.214 -2.214 6.963
```

---

## Li4AsPd7 (PBE)

Data for a geometry-optimized Li4AsPd7 structure. Values from VASP.

* theoretical density: 7.774 g/cm³
* energy above the most stable polymorph in this dataset: 50 meV per atom
* uncorrected energy: -4.340 eV/atom
* energy relative to the elements: -0.29 eV/atom

Cell and atoms, written as Quantum ESPRESSO input:
```
&SYSTEM
  ibrav = 0, nat = 12, ntyp = 3
/
ATOMIC_SPECIES
Li 6.94 Li.upf
Pd 106.42 Pd.upf
As 74.92 As.upf
ATOMIC_POSITIONS crystal
Li 0.097 0.401 0.406
Li 0.409 0.737 0.444
Li 0.903 0.599 0.594
Li 0.591 0.263 0.556
Pd 0.655 0.559 0.130
Pd 0.146 0.734 0.975
Pd 0.500 0.000 0.000
Pd 0.775 0.890 0.561
Pd 0.225 0.110 0.439
Pd 0.854 0.266 0.025
Pd 0.345 0.441 0.870
As 0.000 0.000 0.000
CELL_PARAMETERS angstrom
4.703 0.000 0.000
2.351 8.810 1.500
2.351 1.361 4.602
```